A geometry-optimized NaCo2SeO structure. Source: the Alexandria database, functional PBE+U.

Structure (POSCAR):
```
NaCo2SeO
1.0
4.066 0.000 0.000
0.000 4.066 0.000
0.000 0.000 4.468
Na Co Se O
1 2 1 1
Direct
0.000 0.000 0.000 Na
0.000 0.500 0.500 Co
0.500 0.000 0.500 Co
0.500 0.500 0.000 Se
0.000 0.000 0.500 O
```

Calculated values
Total energy ... -0.165 hartree per atom
Theoretical density ... 5.30 g/cm3